Record 1
Density functional theory data (GGA-PBE) for a relaxed HgMoSe2 crystal.

Lattice parameters (Å, degrees): 4.8792 4.8792 4.8792 60.00 60.00 60.00
Closest atoms and distances in Å follow each position.
Atoms (fractional coordinates):
Hg 0.0000 0.0000 0.0000  4 Se 2.99, 4 Mo 2.99
Mo 0.2500 0.2500 0.2500  4 Se 2.99, 4 Hg 2.99
Se 0.5000 0.5000 0.5000  4 Se 2.99, 4 Mo 2.99
Se 0.7500 0.7500 0.7500  4 Se 2.99, 4 Hg 2.99

Summary:
Crystal system ... cubic
Size of the total moment ... 2.4 μB/cell
Space group ... F-43m (216)
Raw formation energy ... 0.746 eV/atom

=====

Record 2
Density functional theory data (GGA-PBE) for a relaxed Sr3IN crystal.

Lattice parameters (Å, degrees): 7.4991 7.4991 8.0720 117.75 117.75 59.93
Closest atoms and distances in Å follow each position.
Atoms (fractional coordinates):
Sr 0.0000 0.0000 0.0000  2 N 2.59-2.64
Sr 0.0005 0.5546 0.0000  2 N 2.59-2.65
Sr 0.3464 0.8520 0.4948  2 N 2.70-2.72
Sr 0.5546 0.0005 0.0000  2 N 2.59-2.65
Sr 0.8520 0.3464 0.4948  2 N 2.70-2.72
Sr 0.8519 0.8519 0.4949  2 N 2.70-2.72
I 0.3204 0.3204 0.4075  9 Sr 3.67-3.80
I 0.5490 0.5490 0.0896  9 Sr 3.52-3.81
N 0.7631 0.7631 0.7334  6 Sr 2.64-2.72
N 0.9362 0.9362 0.2533  6 Sr 2.59-2.70

Summary:
Crystal system ... monoclinic
Size of the total moment ... 0.0 μB/cell
Energy above the lowest structure with this stoichiometry ... 0.000 eV/atom
Space group ... Cm (8)
Raw formation energy ... -0.628 eV/atom